1.
VASP calculation (PBE-GGA) on a geometry-optimized BaMgSbIr structure.

It has space group F-43m (No. 216), with a = 7.2356 Å, b = 7.2356 Å, c = 7.2356 Å, α = 90.00°, β = 90.00° and γ = 90.00°. The asymmetric unit holds Ba at (0.0000, 0.0000, 0.0000), Mg at (0.2500, 0.2500, 0.7500), Sb at (0.2500, 0.2500, 0.2500) and Ir at (0.0000, 0.0000, 0.5000).

As for the calculated volume: 23.68 Å³ per atom. The calculation puts the total energy at -0.3021 Ry per atom.

---

2.
VASP calculation (PBE-GGA) on a geometry-optimized TbY2Ni2B2N3 structure.

It has space group I4/mmm (No. 139), with a = 3.4815 Å, b = 3.4815 Å, c = 20.1155 Å, α = 90.00°, β = 90.00° and γ = 90.00°. The asymmetric unit holds Tb at (0.0000, 0.0000, 0.0000), Y at (0.0000, 0.0000, 0.3768), Ni at (0.0000, 0.5000, 0.2500), B at (0.0000, 0.0000, 0.1895), N at (0.0000, 0.0000, 0.1170) and N at (0.0000, 0.0000, 0.5000).

As for the calculated volume: 12.19 Å³ per atom. The calculation puts the total energy at -0.5814 Ry per atom.

---

| no. | M_tot (Bohr magnetons per cell) |
| --- | --- |
| 1 | 0.02 |
| 2 | 0.01 |